Compound: Cu3Si
Source: Alexandria via LeMat-Bulk
Functional: PBE-GGA
Structure: optimized geometry

Cell lengths 4.383, 4.383, 2.666 Å; angles 90.00, 90.00, 108.50 degrees
Element x y z (fractional)
1 Cu 0.000 0.000 0.000
2 Cu 0.000 0.500 0.500
3 Cu 0.500 0.000 0.500
4 Si 0.500 0.500 0.000

SG = Cmmm, No. 65
uncorrected formation energy = -0.014 eV per atom
crystal system = orthorhombic
VASP energy = -17.77 eV for the cell shown